Density functional theory data (PBE-GGA) for crystalline Ac3TlSi at its relaxed geometry.

Calculated values
- Offset from the most stable computed form: 0.000 eV/atom
- Uncorrected formation energy: -353 meV per atom
- D(E_F): 7.56 states/eV per cell

```
data_Ac3TlSi
_space_group_name_H-M_alt 'P m m n'
_space_group_IT_number 59
_cell_length_a 4.957
_cell_length_b 7.718
_cell_length_c 9.797
_cell_angle_alpha 90.00
_cell_angle_beta 90.00
_cell_angle_gamma 90.00
loop_
_space_group_symop_operation_xyz
'x,y,z'
'-x,-y,-z'
'-x+1/2,-y+1/2,z'
'x+1/2,y+1/2,-z'
'x+1/2,-y,-z'
'-x+1/2,y,z'
'-x,y+1/2,-z'
'x,-y+1/2,z'
loop_
_atom_site_label
_atom_site_fract_x
_atom_site_fract_y
_atom_site_fract_z
Ac1 0.250 0.009 0.163
Ac2 0.250 0.250 0.570
Tl1 0.250 0.750 0.662
Si1 0.250 0.250 0.893
```